Hf2Be2Ir | OQMD | PBE | relaxed; symmetry = P4/mbm, No. 127; total DFT energy (no corrections) = -7.831 eV per atom
1.0
6.414 0.000 0.000
0.000 6.414 0.000
0.000 0.000 3.511
Hf Be Ir
4 4 2
Cartesian
1.135 2.072 0.000 Hf
2.072 5.279 0.000 Hf
4.343 1.135 0.000 Hf
5.279 4.343 0.000 Hf
0.765 3.973 1.756 Be
2.442 0.765 1.756 Be
3.973 5.649 1.756 Be
5.649 2.442 1.756 Be
0.000 0.000 1.756 Ir
3.207 3.207 1.756 Ir